Entry 1:
VASP calculation (PBE-GGA) on a relaxed structure of Hf2PaAu.

Unit cell a=3.2127 b=3.2127 c=10.0294 alpha=80.78 beta=80.78 gamma=60.00
Last column: nearest neighbours and their distance in Å.
Sites, in units of the cell vectors:
Hf 0.0772 0.0772 0.7684  3 Au 2.93, 6 Hf 3.21, 3 Pa 3.22
Hf 0.2561 0.2561 0.2317  3 Au 2.95, 6 Hf 3.21, 3 Pa 3.24
Pa 0.4996 0.4996 0.5011  6 Pa 3.21, 6 Hf 3.22-3.24
Au 0.6671 0.6671 0.9988  6 Hf 2.93-2.95, 6 Au 3.21

* ΔH_f (0 K): -122 meV/atom
* E_tot: -33.17 eV for the cell shown
* distance to the lowest polymorph of the same formula: 0.089 eV per atom

=====

Entry 2:
VASP calculation (PBE-GGA) on a relaxed structure of HfPa2Au.

Unit cell a=3.0886 b=3.0886 c=11.6290 alpha=82.37 beta=82.37 gamma=60.00
Last column: nearest neighbours and their distance in Å.
Sites, in units of the cell vectors:
Hf 0.5000 0.5000 0.5000  6 Hf 3.09, 6 Pa 3.26
Pa 0.0875 0.0875 0.7376  1 Au 3.02, 6 Pa 3.09, 3 Hf 3.26
Pa 0.9125 0.9125 0.2624  1 Au 3.02, 6 Pa 3.09, 3 Hf 3.26
Au 0.0000 0.0000 0.0000  2 Pa 3.02, 6 Au 3.09

* ΔH_f (0 K): 189 meV/atom
* E_tot: -31.47 eV for the cell shown
* distance to the lowest polymorph of the same formula: 0.322 eV per atom